No. 1
VASP calculation (GGA+U) on an optimized crystal structure of SrMo2O7.

Cell: 6.0064 6.0064 3.8535 Å, 90.00 90.00 116.73°
Sites, in units of the cell vectors:
Sr: 0.0000 0.0000 0.0000
Mo: 0.3085 0.6915 0.5000
Mo: 0.6915 0.3085 0.5000
O: 0.0413 0.3293 0.5000
O: 0.3022 0.6978 0.0000
O: 0.3293 0.0413 0.5000
O: 0.5000 0.5000 0.5000
O: 0.6707 0.9587 0.5000
O: 0.6978 0.3022 0.0000
O: 0.9587 0.6707 0.5000

Calculated values
Symmetry ... No. 65
VASP energy ... -6.897 eV per atom
DOS(E_F) ... 0.0598 states/eV/atom
Crystal system ... orthorhombic
ρ ... 5.2 g cm⁻³

No. 2
VASP calculation (GGA+U) on an optimized crystal structure of SrMoO2.

Cell: 7.5977 7.5977 7.5977 Å, 128.10 128.10 76.46°
Sites, in units of the cell vectors:
Sr: 0.0000 0.0000 0.0000
Sr: 0.0000 0.0000 0.5000
Sr: 0.0000 0.5000 0.0000
Sr: 0.5000 0.0000 0.5000
Mo: 0.0000 0.5000 0.5000
Mo: 0.5000 0.0000 0.0000
Mo: 0.5000 0.5000 0.0000
Mo: 0.5000 0.5000 0.5000
O: 0.2173 0.2492 0.5319
O: 0.2173 0.6854 0.9681
O: 0.2492 0.2173 0.0319
O: 0.3146 0.7827 0.5319
O: 0.6854 0.2173 0.4681
O: 0.7508 0.7827 0.9681
O: 0.7827 0.3146 0.0319
O: 0.7827 0.7508 0.4681

Calculated values
Symmetry ... No. 141
E above lowest polymorph ... 0.00 eV per formula unit
DOS(E_F) ... 0.0211 states/eV/atom
Crystal system ... tetragonal
ρ ... 5.4 g cm⁻³

No. 3
VASP calculation (GGA+U) on an optimized crystal structure of Sr2MoO4.

Cell: 5.7303 12.7160 5.8282 Å, 90.00 90.00 90.00°
Sites, in units of the cell vectors:
Sr: 0.0183 0.1471 0.0132
Sr: 0.0183 0.3529 0.5132
Sr: 0.4817 0.6471 0.0132
Sr: 0.4817 0.8529 0.5132
Sr: 0.5183 0.1471 0.4868
Sr: 0.5183 0.3529 0.9868
Sr: 0.9817 0.6471 0.4868
Sr: 0.9817 0.8529 0.9868
Mo: 0.0000 0.0000 0.5000
Mo: 0.0000 0.5000 0.0000
Mo: 0.5000 0.0000 0.0000
Mo: 0.5000 0.5000 0.5000
O: 0.0074 0.6614 0.0462
O: 0.0074 0.8386 0.5462
O: 0.2084 0.5151 0.7199
O: 0.2084 0.9849 0.2199
O: 0.2916 0.0151 0.7199
O: 0.2916 0.4849 0.2199
O: 0.4926 0.1614 0.0462
O: 0.4926 0.3386 0.5462
O: 0.5074 0.6614 0.4538
O: 0.5074 0.8386 0.9538
O: 0.7084 0.5151 0.7801
O: 0.7084 0.9849 0.2801
O: 0.7916 0.0151 0.7801
O: 0.7916 0.4849 0.2801
O: 0.9926 0.1614 0.4538
O: 0.9926 0.3386 0.9538

Calculated values
Symmetry ... No. 61
E above lowest polymorph ... 0.00 eV per formula unit
Crystal system ... orthorhombic
ρ ... 5.2 g cm⁻³

No. 4
VASP calculation (GGA+U) on an optimized crystal structure of SrMo3O.

Cell: 4.4574 4.4574 4.4574 Å, 90.00 90.00 90.00°
Sites, in units of the cell vectors:
Sr: 0.0000 0.0000 0.0000
Mo: 0.0000 0.5000 0.5000
Mo: 0.5000 0.0000 0.5000
Mo: 0.5000 0.5000 0.0000
O: 0.5000 0.5000 0.5000

Calculated values
Symmetry ... No. 221
VASP energy ... -4.581 eV per atom
DOS(E_F) ... 0.6986 states/eV/atom
Crystal system ... cubic
ρ ... 7.3 g cm⁻³

No. 5
VASP calculation (GGA+U) on an optimized crystal structure of SrMo4O12.

Cell: 6.7498 6.7498 6.7498 Å, 109.47 109.47 109.47°
Sites, in units of the cell vectors:
Sr: 0.0000 0.0000 0.0000
Mo: 0.0000 0.0000 0.5000
Mo: 0.0000 0.5000 0.0000
Mo: 0.5000 0.0000 0.0000
Mo: 0.5000 0.5000 0.5000
O: 0.0000 0.2461 0.7539
O: 0.0000 0.7539 0.2461
O: 0.2461 0.0000 0.7539
O: 0.2461 0.2461 0.4923
O: 0.2461 0.4923 0.2461
O: 0.2461 0.7539 0.0000
O: 0.4923 0.2461 0.2461
O: 0.5077 0.7539 0.7539
O: 0.7539 0.0000 0.2461
O: 0.7539 0.2461 0.0000
O: 0.7539 0.5077 0.7539
O: 0.7539 0.7539 0.5077

Calculated values
Symmetry ... No. 229
VASP energy ... -7.035 eV per atom
DOS(E_F) ... 0.0593 states/eV/atom
Crystal system ... cubic
ρ ... 4.7 g cm⁻³

No. 6
VASP calculation (GGA+U) on an optimized crystal structure of SrTaMoO6.

Cell: 5.0036 5.0036 9.8767 Å, 90.00 90.00 90.00°
Sites, in units of the cell vectors:
Sr: 0.0000 0.0000 0.0000
Sr: 0.5000 0.5000 0.5000
Ta: 0.0000 0.0000 0.3416
Ta: 0.5000 0.5000 0.8416
Mo: 0.0000 0.0000 0.6681
Mo: 0.5000 0.5000 0.1681
O: 0.1687 0.1687 0.5032
O: 0.2299 0.2299 0.8070
O: 0.2333 0.2333 0.2032
O: 0.2667 0.7333 0.7032
O: 0.2701 0.7299 0.3070
O: 0.3313 0.6687 0.0032
O: 0.6687 0.3313 0.0032
O: 0.7299 0.2701 0.3070
O: 0.7333 0.2667 0.7032
O: 0.7667 0.7667 0.2032
O: 0.7701 0.7701 0.8070
O: 0.8313 0.8313 0.5032

Calculated values
Symmetry ... No. 102
VASP energy ... -8.003 eV per atom
DOS(E_F) ... 0.0000 states/eV/atom
Crystal system ... tetragonal
ρ ... 6.2 g cm⁻³

No. 7
VASP calculation (GGA+U) on an optimized crystal structure of SrTaMo2O8.

Cell: 4.8767 4.8767 6.6616 Å, 90.00 90.00 92.32°
Sites, in units of the cell vectors:
Sr: 0.0000 0.0000 0.0000
Ta: 0.0000 0.0000 0.5000
Mo: 0.5000 0.5000 0.2500
Mo: 0.5000 0.5000 0.7500
O: 0.2101 0.2101 0.2926
O: 0.2101 0.2101 0.7074
O: 0.2984 0.7016 0.5000
O: 0.3325 0.6675 0.0000
O: 0.6675 0.3325 0.0000
O: 0.7016 0.2984 0.5000
O: 0.7899 0.7899 0.2926
O: 0.7899 0.7899 0.7074

Calculated values
Symmetry ... No. 65
VASP energy ... -7.797 eV per atom
DOS(E_F) ... 0.1133 states/eV/atom
Crystal system ... orthorhombic
ρ ... 6.2 g cm⁻³

No. 8
VASP calculation (GGA+U) on an optimized crystal structure of SrTaMoO2.

Cell: 4.3946 4.3946 5.9137 Å, 90.00 90.00 90.00°
Sites, in units of the cell vectors:
Sr: 0.0000 0.0000 0.0000
Ta: 0.5000 0.5000 0.5000
Mo: 0.0000 0.0000 0.5000
O: 0.0000 0.5000 0.0000
O: 0.5000 0.0000 0.0000

Calculated values
Symmetry ... No. 123
VASP energy ... -5.071 eV per atom
DOS(E_F) ... 1.0413 states/eV/atom
Crystal system ... tetragonal
ρ ... 5.8 g cm⁻³

No. 9
VASP calculation (GGA+U) on an optimized crystal structure of SrTcMoO6.

Cell: 4.9962 4.9962 9.9276 Å, 90.00 90.00 90.00°
Sites, in units of the cell vectors:
Sr: 0.0000 0.0000 0.0000
Sr: 0.5000 0.5000 0.5000
Tc: 0.0000 0.0000 0.3341
Tc: 0.5000 0.5000 0.8341
Mo: 0.0000 0.0000 0.6523
Mo: 0.5000 0.5000 0.1523
O: 0.1701 0.1701 0.4917
O: 0.2393 0.2393 0.1879
O: 0.2461 0.2461 0.8010
O: 0.2539 0.7461 0.3010
O: 0.2607 0.7393 0.6879
O: 0.3299 0.6701 0.9917
O: 0.6701 0.3299 0.9917
O: 0.7393 0.2607 0.6879
O: 0.7461 0.2539 0.3010
O: 0.7539 0.7539 0.8010
O: 0.7607 0.7607 0.1879
O: 0.8299 0.8299 0.4917

Calculated values
Symmetry ... No. 102
VASP energy ... -7.224 eV per atom
DOS(E_F) ... 0.0248 states/eV/atom
Crystal system ... tetragonal
ρ ... 5.1 g cm⁻³

No. 10
VASP calculation (GGA+U) on an optimized crystal structure of SrTc2MoO8.

Cell: 5.8410 5.8410 6.9959 Å, 90.00 90.00 120.00°
Sites, in units of the cell vectors:
Sr: 0.0000 0.0000 0.0000
Tc: 0.3333 0.6667 0.7659
Tc: 0.6667 0.3333 0.2341
Mo: 0.0000 0.0000 0.5000
O: 0.1574 0.3148 0.7020
O: 0.1574 0.8426 0.7020
O: 0.3148 0.1574 0.2980
O: 0.3333 0.6667 0.0187
O: 0.6667 0.3333 0.9813
O: 0.6852 0.8426 0.7020
O: 0.8426 0.1574 0.2980
O: 0.8426 0.6852 0.2980

Calculated values
Symmetry ... No. 164
VASP energy ... -7.380 eV per atom
DOS(E_F) ... 0.6669 states/eV/atom
Crystal system ... trigonal
ρ ... 4.1 g cm⁻³

No. 11
VASP calculation (GGA+U) on an optimized crystal structure of Sr2ThMoO6.

Cell: 5.9295 6.0411 10.4035 Å, 90.00 124.42 90.00°
Sites, in units of the cell vectors:
Sr: 0.2428 0.0426 0.2494
Sr: 0.2428 0.4574 0.7494
Sr: 0.7572 0.5426 0.2506
Sr: 0.7572 0.9574 0.7506
Th: 0.5000 0.0000 0.0000
Th: 0.5000 0.5000 0.5000
Mo: 0.0000 0.0000 0.5000
Mo: 0.0000 0.5000 0.0000
O: 0.1367 0.2154 0.9538
O: 0.1367 0.2846 0.4538
O: 0.2372 0.6874 0.9538
O: 0.2372 0.8126 0.4538
O: 0.3312 0.0336 0.7420
O: 0.3312 0.4664 0.2420
O: 0.6688 0.5336 0.7580
O: 0.6688 0.9664 0.2580
O: 0.7628 0.1874 0.5462
O: 0.7628 0.3126 0.0462
O: 0.8633 0.7154 0.5462
O: 0.8633 0.7846 0.0462

Calculated values
Symmetry ... No. 14
VASP energy ... -7.581 eV per atom
Crystal system ... monoclinic
ρ ... 6.5 g cm⁻³

No. 12
VASP calculation (GGA+U) on an optimized crystal structure of Sr2TiMoO6.

Cell: 5.7001 5.6724 9.7631 Å, 90.00 125.52 90.00°
Sites, in units of the cell vectors:
Sr: 0.2458 0.0126 0.2494
Sr: 0.2458 0.4874 0.7494
Sr: 0.7542 0.5126 0.2506
Sr: 0.7542 0.9874 0.7506
Ti: 0.0000 0.0000 0.5000
Ti: 0.0000 0.5000 0.0000
Mo: 0.5000 0.0000 0.0000
Mo: 0.5000 0.5000 0.5000
O: 0.1945 0.2417 0.9728
O: 0.1945 0.2583 0.4728
O: 0.2394 0.7307 0.9742
O: 0.2394 0.7693 0.4742
O: 0.2972 0.0047 0.7471
O: 0.2972 0.4953 0.2471
O: 0.7028 0.5047 0.7529
O: 0.7028 0.9953 0.2529
O: 0.7606 0.2307 0.5258
O: 0.7606 0.2693 0.0258
O: 0.8055 0.7417 0.5272
O: 0.8055 0.7583 0.0272

Calculated values
Symmetry ... No. 14
E above lowest polymorph ... 0.00 eV per formula unit
Crystal system ... monoclinic
ρ ... 5.4 g cm⁻³

No. 13
VASP calculation (GGA+U) on an optimized crystal structure of Sr2TiMoO6.

Cell: 5.6583 5.6583 5.6583 Å, 119.92 119.92 90.14°
Sites, in units of the cell vectors:
Sr: 0.2500 0.7500 0.5000
Sr: 0.7500 0.2500 0.5000
Ti: 0.0000 0.0000 0.0000
Mo: 0.5000 0.5000 0.0000
O: 0.2096 0.2785 0.4882
O: 0.2481 0.2481 0.0000
O: 0.2785 0.7904 0.0689
O: 0.7215 0.2096 0.9311
O: 0.7519 0.7519 0.0000
O: 0.7904 0.7215 0.5118

Calculated values
Symmetry ... No. 87
E above lowest polymorph ... 0.27 eV per formula unit
DOS(E_F) ... 0.2188 states/eV/atom
Crystal system ... tetragonal
ρ ... 5.4 g cm⁻³

No. 14
VASP calculation (GGA+U) on an optimized crystal structure of SrTiMo2O8.

Cell: 4.8329 4.8329 6.5723 Å, 90.00 90.00 93.14°
Sites, in units of the cell vectors:
Sr: 0.0000 0.0000 0.0000
Ti: 0.0000 0.0000 0.5000
Mo: 0.5000 0.5000 0.2539
Mo: 0.5000 0.5000 0.7461
O: 0.2151 0.2151 0.2940
O: 0.2151 0.2151 0.7060
O: 0.2968 0.7032 0.5000
O: 0.3319 0.6681 0.0000
O: 0.6681 0.3319 0.0000
O: 0.7032 0.2968 0.5000
O: 0.7849 0.7849 0.2940
O: 0.7849 0.7849 0.7060

Calculated values
Symmetry ... No. 65
VASP energy ... -7.435 eV per atom
Crystal system ... orthorhombic
ρ ... 4.9 g cm⁻³

No. 15
VASP calculation (GGA+U) on an optimized crystal structure of SrTlMo2O8.

Cell: 6.4844 6.4844 6.4844 Å, 106.66 106.66 115.26°
Sites, in units of the cell vectors:
Sr: 0.0000 0.0000 0.0000
Tl: 0.2500 0.7500 0.5000
Mo: 0.5000 0.5000 0.0000
Mo: 0.7500 0.2500 0.5000
O: 0.3382 0.1565 0.8184
O: 0.3382 0.5198 0.1816
O: 0.4083 0.0932 0.3151
O: 0.4802 0.6618 0.8184
O: 0.7781 0.0932 0.6849
O: 0.8435 0.6618 0.1816
O: 0.9068 0.2219 0.3151
O: 0.9068 0.5917 0.6849

Calculated values
Symmetry ... No. 119
VASP energy ... -6.550 eV per atom
DOS(E_F) ... 0.3700 states/eV/atom
Crystal system ... tetragonal
ρ ... 4.9 g cm⁻³

No. 16
VASP calculation (GGA+U) on an optimized crystal structure of Sr2Tl2MoO6.

Cell: 6.0994 6.0994 6.5891 Å, 97.48 97.48 118.91°
Sites, in units of the cell vectors:
Sr: 0.1639 0.8361 0.0000
Sr: 0.8361 0.1639 0.0000
Tl: 0.3391 0.6609 0.5000
Tl: 0.6609 0.3391 0.5000
Mo: 0.5000 0.5000 0.0000
O: 0.1818 0.4514 0.8358
O: 0.2939 0.2939 0.1907
O: 0.4514 0.1818 0.8358
O: 0.5486 0.8182 0.1642
O: 0.7061 0.7061 0.8093
O: 0.8182 0.5486 0.1642

Calculated values
Symmetry ... No. 12
VASP energy ... -5.916 eV per atom
DOS(E_F) ... 0.0000 states/eV/atom
Crystal system ... monoclinic
ρ ... 6.2 g cm⁻³

No. 17
VASP calculation (GGA+U) on an optimized crystal structure of Sr2TlMoO5.

Cell: 7.1815 7.1815 5.9876 Å, 90.00 90.00 90.00°
Sites, in units of the cell vectors:
Sr: 0.1836 0.3164 0.0000
Sr: 0.3164 0.8164 0.0000
Sr: 0.6836 0.1836 0.0000
Sr: 0.8164 0.6836 0.0000
Tl: 0.0000 0.0000 0.5000
Tl: 0.5000 0.5000 0.5000
Mo: 0.0000 0.5000 0.5000
Mo: 0.5000 0.0000 0.5000
O: 0.0000 0.0000 0.0000
O: 0.1288 0.6288 0.2715
O: 0.1288 0.6288 0.7285
O: 0.3712 0.1288 0.2715
O: 0.3712 0.1288 0.7285
O: 0.5000 0.5000 0.0000
O: 0.6288 0.8712 0.2715
O: 0.6288 0.8712 0.7285
O: 0.8712 0.3712 0.2715
O: 0.8712 0.3712 0.7285

Calculated values
Symmetry ... No. 127
VASP energy ... -5.993 eV per atom
DOS(E_F) ... 0.1462 states/eV/atom
Crystal system ... tetragonal
ρ ... 6.0 g cm⁻³

No. 18
VASP calculation (GGA+U) on an optimized crystal structure of SrTlMoO4.

Cell: 6.8661 6.0722 7.8867 Å, 90.00 106.04 90.00°
Sites, in units of the cell vectors:
Sr: 0.1786 0.2500 0.1090
Sr: 0.8214 0.7500 0.8910
Tl: 0.2103 0.2500 0.6338
Tl: 0.7897 0.7500 0.3662
Mo: 0.3135 0.7500 0.8851
Mo: 0.6865 0.2500 0.1149
O: 0.1134 0.5174 0.8554
O: 0.1134 0.9826 0.8554
O: 0.4442 0.7500 0.7141
O: 0.4642 0.7500 0.1144
O: 0.5358 0.2500 0.8856
O: 0.5558 0.2500 0.2859
O: 0.8866 0.0174 0.1446
O: 0.8866 0.4826 0.1446

Calculated values
Symmetry ... No. 11
VASP energy ... -6.198 eV per atom
DOS(E_F) ... 0.0000 states/eV/atom
Crystal system ... monoclinic
ρ ... 4.7 g cm⁻³